(1)
The following is a PBE calculation of crystalline Ga3SbF at its relaxed geometry, from the Alexandria database.

a b c (Å): 4.757 4.757 4.757
angles (deg): 90.00 90.00 90.00
Element x y z (fractional)
Ga 0.000 0.000 0.500
Ga 0.500 0.000 0.000
Ga 0.000 0.500 0.000
F 0.000 0.000 0.000
Sb 0.500 0.500 0.500

Calculated values
space-group type: No. 221

=====

(2)
The following is a PBE calculation of crystalline Ga3SbF at its relaxed geometry, from the Alexandria database.

a b c (Å): 5.501 5.501 5.501
angles (deg): 90.00 90.00 90.00
Element x y z (fractional)
Ga 0.000 0.500 0.000
Ga 0.500 0.000 0.000
Ga 0.000 0.000 0.500
Sb 0.000 0.000 0.000
F 0.500 0.500 0.500

Calculated values
space-group type: No. 221

=====

(3)
The following is a PBE calculation of crystalline Ga2Sb2F at its relaxed geometry, from the Alexandria database.

a b c (Å): 4.685 4.685 6.392
angles (deg): 68.50 68.50 90.00
Element x y z (fractional)
Sb 0.750 0.250 0.500
Sb 0.250 0.750 0.500
F 0.000 0.000 0.000
Ga 0.609 0.609 0.783
Ga 0.391 0.391 0.217

Calculated values
space-group type: No. 139

=====

(4)
The following is a PBE calculation of crystalline GaSb2F at its relaxed geometry, from the Alexandria database.

a b c (Å): 4.498 4.498 9.787
angles (deg): 76.71 76.71 90.00
Element x y z (fractional)
F 0.250 0.750 0.500
F 0.500 0.500 0.000
Sb 0.875 0.833 0.750
Sb 0.583 0.125 0.250
Sb 0.375 0.417 0.750
Sb 0.167 0.625 0.250
Ga 0.750 0.250 0.500
Ga 0.000 0.000 0.000

Calculated values
space-group type: No. 122

=====

In the order shown, the computed total moment values come out to 0.0; 0.0; 0.0; 0.0 μB per formula unit.
In the order shown, the computed DOS at the Fermi energy values come out to 2.92; 4.17; 1.49; 0.87 states/eV/f.u..
In the order shown, the computed energy relative to the elements, uncorrected values come out to -0.4227; 0.1807; -0.2830; -0.4504 eV/atom.